a:
The following is a DFT calculation (PBE) of a relaxed BeAl2In crystal.

The structure in POSCAR format:
```
BeAl2In
1.0
0.000 3.283 3.283
3.283 0.000 3.283
3.283 3.283 0.000
Be Al In
1 2 1
direct
0.000 0.000 0.000
0.250 0.250 0.250
0.750 0.750 0.750
0.500 0.500 0.500
```

Crystal system   cubic

=====

b:
The following is a DFT calculation (PBE) of a relaxed BeAl2In crystal.

The structure in POSCAR format:
```
BeAl2In
1.0
2.730 -4.038 0.000
2.730 4.038 0.000
0.000 0.000 3.169
Be Al In
1 2 1
direct
0.000 0.000 0.000
0.000 0.500 0.500
0.500 0.000 0.500
0.500 0.500 0.000
```

Crystal system   orthorhombic

=====

c:
The following is a DFT calculation (PBE) of a relaxed BeAl2In crystal.

The structure in POSCAR format:
```
BeAl2In
1.0
2.809 0.000 0.000
0.000 3.764 0.000
0.000 0.000 6.684
Be Al In
1 2 1
direct
0.000 0.000 0.000
0.000 0.000 0.613
0.500 0.500 0.849
0.500 0.500 0.291
```

Crystal system   orthorhombic

=====

d:
The following is a DFT calculation (PBE) of a relaxed BeAl2In crystal.

The structure in POSCAR format:
```
BeAl2In
1.0
-2.175 2.175 8.259
2.175 -2.175 8.259
2.175 2.175 -8.259
Be Al In
2 4 2
direct
0.000 0.000 0.000
0.750 0.250 0.500
0.055 0.625 0.930
0.375 0.305 0.430
0.695 0.125 0.070
0.875 0.945 0.570
0.250 0.750 0.500
0.500 0.500 0.000
```

Crystal system   tetragonal

=====

Energetically preferred structure: c | next structure: +0.067 eV/atom

=====

a:
The following is a DFT calculation (PBE) of a relaxed BeAlIn3 crystal.

The structure in POSCAR format:
```
BeAlIn3
1.0
4.940 0.000 0.000
0.000 4.940 0.000
0.000 0.000 4.940
Be Al In
1 1 3
direct
0.000 0.000 0.000
0.500 0.500 0.500
0.000 0.000 0.500
0.000 0.500 0.000
0.500 0.000 0.000
```

Crystal system   cubic

=====

b:
The following is a DFT calculation (PBE) of a relaxed BeAlIn3 crystal.

The structure in POSCAR format:
```
BeAlIn3
1.0
5.322 0.000 0.000
0.000 5.322 0.000
0.000 0.000 5.322
Be Al In
1 1 3
direct
0.000 0.000 0.000
0.500 0.500 0.500
0.000 0.500 0.500
0.500 0.000 0.500
0.500 0.500 0.000
```

Crystal system   cubic

=====

Energetically preferred structure: a | next structure: +0.410 eV/atom